Entry 1:
Below is a geometry-optimized CdWBr2 structure, with properties calculated at the PBE-GGA level.

Cell and atoms, written as POSCAR:
```
CdWBr2
1.0
5.2271 0.0000 0.0000
0.0000 5.2271 0.0000
0.0000 0.0000 3.3145
Cd W Br
1 1 2
Cartesian
0.0000 0.0000 0.0000
2.6135 2.6135 0.0000
0.0000 2.6135 1.6572
2.6135 0.0000 1.6572
```

Output
**Symmetry**: No. 123
**Energy relative to the lowest polymorph listed for this composition**: 881.4 meV per atom
**Uncorrected energy**: -12.83 eV/cell

=====

Entry 2:
Below is a geometry-optimized CdWBr2 structure, with properties calculated at the PBE-GGA level.

Cell and atoms, written as POSCAR:
```
CdWBr2
1.0
-2.0546 2.0546 6.0940
2.0546 -2.0546 6.0940
2.0546 2.0546 -6.0940
Cd W Br
1 1 2
Cartesian
0.0000 0.0000 0.0000
2.0546 0.0000 3.0470
0.0000 0.0000 6.0940
0.0000 2.0546 3.0470
```

Output
**Symmetry**: No. 119
**Energy relative to the lowest polymorph listed for this composition**: 814.9 meV per atom
**Uncorrected energy**: -13.10 eV/cell

=====

Entry 3:
Below is a geometry-optimized CdWBr2 structure, with properties calculated at the PBE-GGA level.

Cell and atoms, written as POSCAR:
```
CdWBr2
1.0
1.6249 0.9381 10.8221
-1.6249 0.9381 10.8221
0.0000 -1.8762 10.8221
Cd W Br
1 1 2
Cartesian
0.0000 0.0000 0.0000
0.0000 0.0000 16.2331
0.0000 0.0000 3.5499
0.0000 0.0000 28.9163
```

Output
**Symmetry**: No. 166
**Energy relative to the lowest polymorph listed for this composition**: 79.0 meV per atom
**Uncorrected energy**: -16.04 eV/cell

=====

Entry 4:
Below is a geometry-optimized CdWBr2 structure, with properties calculated at the PBE-GGA level.

Cell and atoms, written as POSCAR:
```
CdWBr2
1.0
5.4079 -1.5779 0.0000
5.4079 1.5779 0.0000
-2.9172 0.0000 7.1738
Cd W Br
1 1 2
Cartesian
0.0000 0.0000 0.0000
5.0051 0.0000 7.1734
-0.1311 0.0000 5.1075
2.7850 0.0000 2.0656
```

Output
**Symmetry**: No. 8
**Energy relative to the lowest polymorph listed for this composition**: 51.2 meV per atom
**Uncorrected energy**: -16.16 eV/cell

=====

Entry 5:
Below is a geometry-optimized Cd3WBr structure, with properties calculated at the PBE-GGA level.

Cell and atoms, written as POSCAR:
```
Cd3WBr
1.0
5.5515 0.0000 0.0000
0.0000 5.5515 0.0000
0.0000 0.0000 5.5515
Cd W Br
3 1 1
Cartesian
0.0000 0.0000 2.7757
0.0000 2.7757 0.0000
2.7757 0.0000 0.0000
0.0000 0.0000 0.0000
2.7757 2.7757 2.7757
```

Output
**Symmetry**: No. 221
**Energy relative to the lowest polymorph listed for this composition**: 0.0 meV per atom
**Uncorrected energy**: -12.48 eV/cell

=====

Entry 6:
Below is a geometry-optimized CdW6Br14 structure, with properties calculated at the PBE-GGA level.

Cell and atoms, written as POSCAR:
```
CdW6Br14
1.0
13.6882 0.0000 0.0000
0.0000 13.6882 0.0000
0.0000 0.0000 13.6882
Cd W Br
4 24 56
Cartesian
0.0000 0.0000 0.0000
0.0000 6.8441 6.8441
6.8441 0.0000 6.8441
6.8441 6.8441 0.0000
0.3153 8.6554 13.3030
0.3153 11.8768 7.2292
0.3851 7.1594 1.8114
0.3851 13.3729 5.0327
1.8114 0.3851 7.1594
1.8114 6.4590 13.3729
5.0327 0.3851 13.3729
5.0327 6.4590 7.1594
6.4590 7.1594 5.0327
6.4590 13.3729 1.8114
6.5288 8.6554 7.2292
6.5288 11.8768 13.3030
7.1594 1.8114 0.3851
7.1594 5.0327 6.4590
7.2292 0.3153 11.8768
7.2292 6.5288 8.6554
8.6554 7.2292 6.5288
8.6554 13.3030 0.3153
11.8768 7.2292 0.3153
11.8768 13.3030 6.5288
13.3030 0.3153 8.6554
13.3030 6.5288 11.8768
13.3729 1.8114 6.4590
13.3729 5.0327 0.3851
0.8459 9.3547 7.8781
0.8459 11.1775 12.6541
1.0340 7.6900 4.3334
1.0340 12.8423 2.5107
1.0959 2.5017 8.5777
1.0959 4.3424 11.9545
1.7336 7.9400 11.1865
1.7336 12.5922 9.3458
1.8778 1.8778 4.9663
1.8778 4.9663 1.8778
2.5107 1.0340 12.8423
2.5107 5.8101 7.6900
2.5017 8.5777 1.0959
2.5017 11.9545 5.7482
4.3334 1.0340 7.6900
4.3334 5.8101 12.8423
4.3424 8.5777 5.7482
4.3424 11.9545 1.0959
4.9663 1.8778 1.8778
4.9663 4.9663 4.9663
5.1104 7.9400 9.3458
5.1104 12.5922 11.1865
5.7482 2.5017 11.9545
5.7482 4.3424 8.5777
5.8101 7.6900 2.5107
5.8101 12.8423 4.3334
5.9982 9.3547 12.6541
5.9982 11.1775 7.8781
7.6900 2.5107 5.8101
7.6900 4.3334 1.0340
7.8781 0.8459 9.3547
7.8781 5.9982 11.1775
7.9400 9.3458 5.1104
7.9400 11.1865 1.7336
8.5777 1.0959 2.5017
8.5777 5.7482 4.3424
8.7219 8.7219 8.7219
8.7219 11.8104 11.8104
9.3458 1.7336 12.5922
9.3458 5.1104 7.9400
9.3547 7.8781 0.8459
9.3547 12.6541 5.9982
11.1865 1.7336 7.9400
11.1865 5.1104 12.5922
11.1775 7.8781 5.9982
11.1775 12.6541 0.8459
11.8104 8.7219 11.8104
11.8104 11.8104 8.7219
11.9545 1.0959 4.3424
11.9545 5.7482 2.5017
12.5922 9.3458 1.7336
12.5922 11.1865 5.1104
12.6541 0.8459 11.1775
12.6541 5.9982 9.3547
12.8423 2.5107 1.0340
12.8423 4.3334 5.8101
```

Output
**Symmetry**: No. 201
**Uncorrected energy**: -452.27 eV/cell

=====

Entry 7:
Below is a geometry-optimized CdWBr2 structure, with properties calculated at the PBE-GGA level.

Cell and atoms, written as POSCAR:
```
CdWBr2
1.0
3.1730 0.0000 0.0000
0.0000 3.1730 0.0000
0.0000 0.0000 9.7628
Cd W Br
1 1 2
Cartesian
0.0000 0.0000 0.0000
0.0000 0.0000 4.8814
1.5865 1.5865 3.2820
1.5865 1.5865 6.4809
```

Output
**Symmetry**: No. 123
**Energy relative to the lowest polymorph listed for this composition**: 394.6 meV per atom
**Uncorrected energy**: -14.78 eV/cell

=====

Entry 8:
Below is a geometry-optimized Zr2CdWBr structure, with properties calculated at the PBE-GGA level.

Cell and atoms, written as POSCAR:
```
Zr2CdWBr
1.0
5.3079 0.0000 0.0000
0.0000 5.3079 0.0000
0.0000 0.0000 4.8534
Zr Cd W Br
2 1 1 1
Cartesian
0.0000 2.6539 0.0000
2.6539 0.0000 0.0000
0.0000 0.0000 0.0000
2.6539 2.6539 2.4267
0.0000 0.0000 2.4267
```

Output
**Symmetry**: No. 123
**Uncorrected energy**: -22.58 eV/cell

=====

Entry 9:
Below is a geometry-optimized YCdBr structure, with properties calculated at the PBE-GGA level.

Cell and atoms, written as POSCAR:
```
YCdBr
1.0
0.0000 3.5956 3.5956
3.5956 0.0000 3.5956
3.5956 3.5956 0.0000
Y Cd Br
1 1 1
Cartesian
0.0000 0.0000 0.0000
5.3934 5.3934 5.3934
1.7978 1.7978 1.7978
```

Output
**Symmetry**: No. 216
**Energy relative to the lowest polymorph listed for this composition**: 519.4 meV per atom
**Uncorrected energy**: -9.76 eV/cell

=====

Entry 10:
Below is a geometry-optimized YCdBr2 structure, with properties calculated at the PBE-GGA level.

Cell and atoms, written as POSCAR:
```
YCdBr2
1.0
-2.4264 2.4264 4.4101
2.4264 -2.4264 4.4101
2.4264 2.4264 -4.4101
Y Cd Br
1 1 2
Cartesian
0.0000 0.0000 0.0000
0.0000 0.0000 4.4101
2.4264 0.0000 2.2050
0.0000 2.4264 2.2050
```

Output
**Symmetry**: No. 139
**Energy relative to the lowest polymorph listed for this composition**: 339.8 meV per atom
**Uncorrected energy**: -13.62 eV/cell

=====

Entry 11:
Below is a geometry-optimized YCdBr4 structure, with properties calculated at the PBE-GGA level.

Cell and atoms, written as POSCAR:
```
YCdBr4
1.0
0.0000 4.4489 4.4489
4.4489 0.0000 4.4489
4.4489 4.4489 0.0000
Y Cd Br
1 1 4
Cartesian
0.0000 0.0000 0.0000
2.2244 2.2244 2.2244
5.5650 3.3328 3.3328
3.3328 5.5650 3.3328
3.3328 3.3328 5.5650
5.5650 5.5650 5.5650
```

Output
**Symmetry**: No. 216
**Uncorrected energy**: -14.29 eV/cell

=====

Entry 12:
Below is a geometry-optimized YCdBr2 structure, with properties calculated at the PBE-GGA level.

Cell and atoms, written as POSCAR:
```
YCdBr2
1.0
1.9156 1.1060 11.5388
-1.9156 1.1060 11.5388
0.0000 -2.2119 11.5388
Y Cd Br
1 1 2
Cartesian
0.0000 0.0000 0.0000
0.0000 0.0000 17.3082
0.0000 0.0000 13.3860
0.0000 0.0000 21.2304
```

Output
**Symmetry**: No. 166
**Energy relative to the lowest polymorph listed for this composition**: 0.0 meV per atom
**Uncorrected energy**: -14.98 eV/cell

=====

Entry 13:
Below is a geometry-optimized YCdBr2 structure, with properties calculated at the PBE-GGA level.

Cell and atoms, written as POSCAR:
```
YCdBr2
1.0
1.9385 1.1192 9.6122
-1.9385 1.1192 9.6122
0.0000 -2.2384 9.6122
Y Cd Br
1 1 2
Cartesian
0.0000 0.0000 0.0000
0.0000 0.0000 21.6419
0.0000 0.0000 7.7752
0.0000 0.0000 13.7741
```

Output
**Symmetry**: No. 160
**Energy relative to the lowest polymorph listed for this composition**: 141.7 meV per atom
**Uncorrected energy**: -14.41 eV/cell